A relaxed structure of ErMgB, computed with PBE.

Cell lengths 3.2843, 3.2843, 12.0466 Å; angles 90.00, 90.00, 120.00 degrees
Atoms (fractional coordinates):
Er  0.0000  0.0000  0.1536
Er  0.0000  0.0000  0.8464
Mg  0.3333  0.6667  0.6066
Mg  0.6667  0.3333  0.3934
B  0.3333  0.6667  0.9992
B  0.6667  0.3333  0.0008

E_form = -307 meV per atom
Symmetry = P-3m1 (164)